[1]
First-principles (SCAN) data for a PBEsol-optimized structure of CsHf2B2, as listed in Alexandria via LeMat-Bulk.

## Properties
* calculated formation energy: 0.846 eV per atom
* magnetization: 0.00 μB/f.u.

Cell lengths 7.594, 7.594, 2.933 Å; angles 90.00, 90.00, 90.00 degrees
Positions (direct):
Cs 0.000 0.000 0.000
Cs 0.500 0.500 0.000
Hf 0.135 0.365 0.000
Hf 0.365 0.865 0.000
Hf 0.635 0.135 0.000
Hf 0.865 0.635 0.000
B 0.150 0.650 0.500
B 0.350 0.150 0.500
B 0.650 0.850 0.500
B 0.850 0.350 0.500

=====

[2]
First-principles (SCAN) data for a PBEsol-optimized structure of Cs2NaHfB, as listed in Alexandria via LeMat-Bulk.

## Properties
* calculated formation energy: 2.077 eV per atom
* magnetization: 5.77 μB/f.u.

Cell lengths 6.518, 6.518, 5.850 Å; angles 90.00, 90.00, 90.00 degrees
Positions (direct):
Cs 0.000 0.500 0.000
Cs 0.500 0.000 0.000
Na 0.000 0.000 0.000
Hf 0.000 0.000 0.500
B 0.500 0.500 0.500

=====

[3]
First-principles (SCAN) data for a PBEsol-optimized structure of CsRbHfB2, as listed in Alexandria via LeMat-Bulk.

## Properties
* calculated formation energy: 1.324 eV per atom
* magnetization: 0.01 μB/f.u.

Cell lengths 4.679, 4.679, 5.827 Å; angles 90.00, 90.00, 90.00 degrees
Positions (direct):
Cs 0.000 0.000 0.000
Rb 0.500 0.500 0.000
Hf 0.500 0.500 0.500
B 0.000 0.500 0.500
B 0.500 0.000 0.500

=====

[4]
First-principles (SCAN) data for a PBEsol-optimized structure of CsHfRe2B, as listed in Alexandria via LeMat-Bulk.

## Properties
* calculated formation energy: 1.669 eV per atom
* magnetization: 0.00 μB/f.u.

Cell lengths 4.168, 4.168, 5.264 Å; angles 90.00, 90.00, 90.00 degrees
Positions (direct):
Cs 0.000 0.000 0.000
Hf 0.500 0.500 0.000
Re 0.000 0.500 0.500
Re 0.500 0.000 0.500
B 0.000 0.000 0.500

=====

[5]
First-principles (SCAN) data for a PBEsol-optimized structure of CsHg3B, as listed in Alexandria via LeMat-Bulk.

## Properties
* calculated formation energy: 1.330 eV per atom
* magnetization: 1.98 μB/f.u.

Cell lengths 6.796, 6.796, 6.796 Å; angles 90.00, 90.00, 90.00 degrees
Positions (direct):
Cs 0.000 0.000 0.000
Hg 0.000 0.000 0.500
Hg 0.000 0.500 0.000
Hg 0.500 0.000 0.000
B 0.500 0.500 0.500

=====

[6]
First-principles (SCAN) data for a PBEsol-optimized structure of Cs2HgB9Se9, as listed in Alexandria via LeMat-Bulk.

## Properties
* magnetization: 0.00 μB/f.u.
* E: -0.705 hartree per atom

Cell lengths 9.936, 10.916, 11.274 Å; angles 77.00, 89.98, 63.72 degrees
Positions (direct):
Cs 0.187 0.149 0.020
Cs 0.215 0.663 0.494
Cs 0.785 0.337 0.506
Cs 0.813 0.851 0.980
Hg 0.312 0.199 0.590
Hg 0.688 0.801 0.410
B 0.250 0.412 0.282
B 0.250 0.923 0.793
B 0.338 0.493 0.039
B 0.338 0.625 0.913
B 0.383 0.626 0.065
B 0.419 0.446 0.905
B 0.440 0.768 0.235
B 0.488 0.450 0.150
B 0.488 0.662 0.948
B 0.512 0.338 0.052
B 0.512 0.550 0.850
B 0.560 0.232 0.765
B 0.581 0.554 0.095
B 0.617 0.374 0.935
B 0.662 0.375 0.087
B 0.662 0.507 0.961
B 0.750 0.077 0.207
B 0.750 0.588 0.718
Se 0.124 0.387 0.406
Se 0.126 0.117 0.706
Se 0.161 0.475 0.111
Se 0.162 0.791 0.805
Se 0.263 0.773 0.153
Se 0.354 0.361 0.790
Se 0.406 0.891 0.344
Se 0.451 0.860 0.875
Se 0.453 0.388 0.323
Se 0.547 0.612 0.677
Se 0.549 0.140 0.125
Se 0.594 0.109 0.656
Se 0.646 0.639 0.210
Se 0.737 0.227 0.847
Se 0.838 0.209 0.195
Se 0.839 0.525 0.889
Se 0.874 0.883 0.294
Se 0.876 0.613 0.594

=====

[7]
First-principles (SCAN) data for a PBEsol-optimized structure of CsBIN2, as listed in Alexandria via LeMat-Bulk.

## Properties
* magnetization: 3.47 μB/f.u.
* E: -0.674 hartree per atom

Cell lengths 4.534, 4.534, 4.811 Å; angles 90.00, 90.00, 90.00 degrees
Positions (direct):
Cs 0.000 0.000 0.000
B 0.500 0.500 0.500
I 0.500 0.500 0.000
N 0.000 0.500 0.500
N 0.500 0.000 0.500

=====

[8]
First-principles (SCAN) data for a PBEsol-optimized structure of CsBSbI2, as listed in Alexandria via LeMat-Bulk.

## Properties
* magnetization: 2.94 μB/f.u.
* E: -1.096 hartree per atom

Cell lengths 7.053, 7.053, 7.148 Å; angles 90.00, 90.00, 90.00 degrees
Positions (direct):
Cs 0.000 0.000 0.000
B 0.500 0.500 0.500
Sb 0.000 0.000 0.500
I 0.000 0.500 0.000
I 0.500 0.000 0.000

=====

[9]
First-principles (SCAN) data for a PBEsol-optimized structure of CsZr6BI14, as listed in Alexandria via LeMat-Bulk.

## Properties
* magnetization: 0.00 μB/f.u.
* E: -1.285 hartree per atom

Cell lengths 10.611, 10.611, 12.833 Å; angles 90.00, 90.00, 83.71 degrees
Positions (direct):
Cs 0.000 0.000 0.000
Cs 0.500 0.500 0.500
Zr 0.041 0.173 0.609
Zr 0.137 0.863 0.601
Zr 0.173 0.041 0.391
Zr 0.327 0.459 0.891
Zr 0.363 0.637 0.101
Zr 0.459 0.327 0.109
Zr 0.541 0.673 0.891
Zr 0.637 0.363 0.899
Zr 0.673 0.541 0.109
Zr 0.827 0.959 0.609
Zr 0.863 0.137 0.399
Zr 0.959 0.827 0.391
B 0.000 0.000 0.500
B 0.500 0.500 0.000
I 0.037 0.215 0.248
I 0.097 0.403 0.750
I 0.118 0.629 0.494
I 0.129 0.618 0.994
I 0.162 0.838 0.239
I 0.215 0.037 0.752
I 0.248 0.248 0.000
I 0.252 0.252 0.500
I 0.285 0.463 0.252
I 0.338 0.662 0.739
I 0.371 0.882 0.494
I 0.382 0.871 0.994
I 0.403 0.097 0.250
I 0.463 0.285 0.748
I 0.537 0.715 0.252
I 0.597 0.903 0.750
I 0.618 0.129 0.006
I 0.629 0.118 0.506
I 0.662 0.338 0.261
I 0.715 0.537 0.748
I 0.748 0.748 0.500
I 0.752 0.752 0.000
I 0.785 0.963 0.248
I 0.838 0.162 0.761
I 0.871 0.382 0.006
I 0.882 0.371 0.506
I 0.903 0.597 0.250
I 0.963 0.785 0.752

=====

[10]
First-principles (SCAN) data for a PBEsol-optimized structure of CsBIr2, as listed in Alexandria via LeMat-Bulk.

## Properties
* calculated formation energy: 0.787 eV per atom
* magnetization: 0.00 μB/f.u.

Cell lengths 6.631, 6.631, 6.631 Å; angles 127.63, 127.63, 77.22 degrees
Positions (direct):
Cs 0.000 0.000 0.000
Cs 0.750 0.250 0.500
B 0.250 0.750 0.500
B 0.500 0.500 0.000
Ir 0.334 0.125 0.709
Ir 0.375 0.666 0.791
Ir 0.416 0.625 0.291
Ir 0.875 0.584 0.209

=====

[11]
First-principles (SCAN) data for a PBEsol-optimized structure of CsLaMgB2, as listed in Alexandria via LeMat-Bulk.

## Properties
* calculated formation energy: 2.376 eV per atom
* magnetization: 0.00 μB/f.u.

Cell lengths 4.927, 4.927, 5.782 Å; angles 90.00, 90.00, 90.00 degrees
Positions (direct):
Cs 0.000 0.000 0.000
La 0.000 0.000 0.500
Mg 0.500 0.500 0.500
B 0.000 0.500 0.000
B 0.500 0.000 0.000

=====

[12]
First-principles (SCAN) data for a PBEsol-optimized structure of Cs2LaBPd, as listed in Alexandria via LeMat-Bulk.

## Properties
* calculated formation energy: 1.063 eV per atom
* magnetization: 2.20 μB/f.u.

Cell lengths 6.209, 6.209, 5.433 Å; angles 90.00, 90.00, 90.00 degrees
Positions (direct):
Cs 0.000 0.500 0.000
Cs 0.500 0.000 0.000
La 0.000 0.000 0.500
B 0.500 0.500 0.500
Pd 0.000 0.000 0.000

=====

Which formula does entry 9 have? CsZr6BI14